1.
# ZnPdRhPb PBE relaxed
# electronic total energy = -72.90 eV per cell
# formation energy from the elements = -0.174 eV per atom
data_ZnPdRhPb
_chemical_formula_sum 'Zn4 Pd4 Rh4 Pb4'
_cell_length_a 6.474
_cell_length_b 6.474
_cell_length_c 6.474
_cell_angle_alpha 90.00
_cell_angle_beta 90.00
_cell_angle_gamma 90.00
_symmetry_space_group_name_H-M 'F -4 3 m'
_symmetry_Int_Tables_number 216
_symmetry_space_group_name_Hall 'F -4 2 3'
loop_
_atom_site_label
_atom_site_type_symbol
_atom_site_fract_x
_atom_site_fract_y
_atom_site_fract_z
_atom_site_occupancy
Zn1 Zn 0.000 0.000 0.000 1
Pd1 Pd 0.250 0.250 0.250 1
Rh1 Rh 0.250 0.250 0.750 1
Pb1 Pb 0.000 0.000 0.500 1

---

2.
# ZrPdRhPb PBE relaxed
# electronic total energy = -106.53 eV per cell
# formation energy from the elements = -0.458 eV per atom
data_ZrPdRhPb
_chemical_formula_sum 'Zr4 Pd4 Rh4 Pb4'
_cell_length_a 6.674
_cell_length_b 6.674
_cell_length_c 6.674
_cell_angle_alpha 90.00
_cell_angle_beta 90.00
_cell_angle_gamma 90.00
_symmetry_space_group_name_H-M 'F -4 3 m'
_symmetry_Int_Tables_number 216
_symmetry_space_group_name_Hall 'F -4 2 3'
loop_
_atom_site_label
_atom_site_type_symbol
_atom_site_fract_x
_atom_site_fract_y
_atom_site_fract_z
_atom_site_occupancy
Zr1 Zr 0.000 0.000 0.000 1
Pd1 Pd 0.250 0.250 0.750 1
Rh1 Rh 0.250 0.250 0.250 1
Pb1 Pb 0.000 0.000 0.500 1

---

3.
# Pd2RuPb2 PBE relaxed
# electronic total energy = -48.54 eV per cell
# excess energy over the best structure of this formula in the dataset = 249 meV/atom
# formation energy from the elements = 0.561 eV per atom
data_Pd2RuPb2
_chemical_formula_sum 'Pd4 Ru2 Pb4'
_cell_length_a 5.287
_cell_length_b 5.287
_cell_length_c 7.990
_cell_angle_alpha 90.00
_cell_angle_beta 90.00
_cell_angle_gamma 90.00
_symmetry_space_group_name_H-M 'I 4/m m m'
_symmetry_Int_Tables_number 139
_symmetry_space_group_name_Hall '-I 4 2'
loop_
_atom_site_label
_atom_site_type_symbol
_atom_site_fract_x
_atom_site_fract_y
_atom_site_fract_z
_atom_site_occupancy
Pd1 Pd 0.000 0.000 0.160 1
Ru1 Ru 0.000 0.000 0.500 1
Pb1 Pb 0.000 0.500 0.250 1

---

4.
# Pd2RuPb2 PBE relaxed
# electronic total energy = -51.03 eV per cell
# excess energy over the best structure of this formula in the dataset = 0 meV/atom
# formation energy from the elements = 0.313 eV per atom
data_Pd2RuPb2
_chemical_formula_sum 'Pd4 Ru2 Pb4'
_cell_length_a 7.248
_cell_length_b 7.248
_cell_length_c 3.849
_cell_angle_alpha 90.00
_cell_angle_beta 90.00
_cell_angle_gamma 90.00
_symmetry_space_group_name_H-M 'P 4/m b m'
_symmetry_Int_Tables_number 127
_symmetry_space_group_name_Hall '-P 4 2ab'
loop_
_atom_site_label
_atom_site_type_symbol
_atom_site_fract_x
_atom_site_fract_y
_atom_site_fract_z
_atom_site_occupancy
Pd1 Pd 0.133 0.367 0.000 1
Ru1 Ru 0.000 0.000 0.000 1
Pb1 Pb 0.174 0.674 0.500 1

---

5.
# PdRu2Pb PBE relaxed
# electronic total energy = -100.31 eV per cell
# formation energy from the elements = 0.594 eV per atom
data_PdRu2Pb
_chemical_formula_sum 'Pd4 Ru8 Pb4'
_cell_length_a 3.951
_cell_length_b 3.951
_cell_length_c 19.396
_cell_angle_alpha 90.00
_cell_angle_beta 90.00
_cell_angle_gamma 90.00
_symmetry_space_group_name_H-M 'I -4 2 d'
_symmetry_Int_Tables_number 122
_symmetry_space_group_name_Hall 'I -4 2bw'
loop_
_atom_site_label
_atom_site_type_symbol
_atom_site_fract_x
_atom_site_fract_y
_atom_site_fract_z
_atom_site_occupancy
Pd1 Pd 0.000 0.000 0.000 1
Ru1 Ru 0.169 0.250 0.125 1
Pb1 Pb 0.000 0.000 0.500 1

---

6.
# Tm5PdRu2Pb2 PBE relaxed
# electronic total energy = -116.50 eV per cell
# formation energy from the elements = -0.473 eV per atom
data_Tm5PdRu2Pb2
_chemical_formula_sum 'Tm10 Pd2 Ru4 Pb4'
_cell_length_a 11.607
_cell_length_b 11.607
_cell_length_c 3.520
_cell_angle_alpha 90.00
_cell_angle_beta 90.00
_cell_angle_gamma 90.00
_symmetry_space_group_name_H-M 'P 4/m b m'
_symmetry_Int_Tables_number 127
_symmetry_space_group_name_Hall '-P 4 2ab'
loop_
_atom_site_label
_atom_site_type_symbol
_atom_site_fract_x
_atom_site_fract_y
_atom_site_fract_z
_atom_site_occupancy
Tm1 Tm 0.000 0.500 0.000 1
Tm2 Tm 0.069 0.199 0.000 1
Pd1 Pd 0.000 0.000 0.500 1
Ru1 Ru 0.135 0.365 0.500 1
Pb1 Pb 0.176 0.676 0.500 1